5
Lattice="-2.705 -2.440 4.703 4.723 1.283 3.382 -1.720 3.777 0.970" Properties=species:S:1:pos:R:3 comment="BiSbI2F PBE relaxed" e_form_raw_ev_per_atom=-0.173 pbc="T T T"
I -1.353 -1.220 2.352
I 2.362 0.641 1.691
Bi 0.149 1.310 4.528
Sb -0.860 1.889 0.485
F 0.000 0.000 0.000